[1]
! PBE-GGA Mg4ReAg, relaxed; values from VASP
! Space-group type: F-43m
! Uncorrected energy in eV per atom: -2.98
! Magnetic moment in Bohr magnetons per cell: 0.7
! Formation energy in meV/atom: 638
! N(E_F) in states/eV/f.u.: 5.1
&SYSTEM
  ibrav = 0, nat = 6, ntyp = 3
/
ATOMIC_SPECIES
Mg 24.30 Mg.upf
Re 186.21 Re.upf
Ag 107.87 Ag.upf
CELL_PARAMETERS angstrom
-0.089 -4.938 2.200
1.882 -0.761 5.011
-3.426 -1.100 4.036
ATOMIC_POSITIONS crystal
Mg 0.872 0.376 0.376
Mg 0.376 0.376 0.872
Mg 0.376 0.872 0.376
Mg 0.376 0.376 0.376
Re 0.750 0.750 0.750
Ag 0.000 0.000 0.000


[2]
! PBE-GGA Tb2Pr7Ho3, relaxed; values from VASP
! Space-group type: P2/m
! Uncorrected energy in eV per atom: -4.64
! Magnetic moment in Bohr magnetons per cell: 0.0
! Formation energy in meV/atom: 69
! N(E_F) in states/eV/f.u.: 17.4
&SYSTEM
  ibrav = 0, nat = 12, ntyp = 3
/
ATOMIC_SPECIES
Tb 158.93 Tb.upf
Pr 140.91 Pr.upf
Ho 164.93 Ho.upf
CELL_PARAMETERS angstrom
-1.817 -0.258 -3.079
-5.596 -0.342 3.332
-5.506 17.289 1.799
ATOMIC_POSITIONS crystal
Tb 0.500 0.610 0.330
Tb 0.500 0.390 0.670
Pr 0.500 0.236 0.507
Pr 0.500 0.764 0.493
Pr 0.000 0.555 0.167
Pr 0.000 0.000 0.000
Pr 0.000 0.445 0.833
Pr 0.500 0.947 0.827
Pr 0.500 0.053 0.173
Ho 0.500 0.500 0.000
Ho 0.000 0.116 0.340
Ho 0.000 0.884 0.660


[3]
! PBE-GGA RbY2MgIn, relaxed; values from VASP
! Space-group type: P4/mmm
! Uncorrected energy in eV per atom: -3.26
! Magnetic moment in Bohr magnetons per cell: 0.8
! Formation energy in meV/atom: 386
! N(E_F) in states/eV/f.u.: 6.9
&SYSTEM
  ibrav = 0, nat = 5, ntyp = 4
/
ATOMIC_SPECIES
Y 88.91 Y.upf
Mg 24.30 Mg.upf
Rb 85.47 Rb.upf
In 114.82 In.upf
CELL_PARAMETERS angstrom
5.959 0.000 0.000
0.000 5.573 0.000
0.000 0.000 5.959
ATOMIC_POSITIONS crystal
Y 0.000 0.000 0.500
Y 0.500 0.000 0.000
Mg 0.000 0.500 0.000
Rb 0.500 0.500 0.500
In 0.000 0.000 0.000


[4]
! PBE-GGA TlBiAu3, relaxed; values from VASP
! Space-group type: Cmcm
! Uncorrected energy in eV per atom: -3.15
! Magnetic moment in Bohr magnetons per cell: 0.0
! Formation energy in meV/atom: 67
! N(E_F) in states/eV/f.u.: 1.9
&SYSTEM
  ibrav = 0, nat = 10, ntyp = 3
/
ATOMIC_SPECIES
Tl 204.38 Tl.upf
Bi 208.98 Bi.upf
Au 196.97 Au.upf
CELL_PARAMETERS angstrom
-3.323 3.061 -2.828
3.146 -0.616 -4.364
-6.317 -7.043 -0.201
ATOMIC_POSITIONS crystal
Tl 0.750 0.852 0.705
Tl 0.250 0.148 0.295
Bi 0.750 0.554 0.109
Bi 0.250 0.446 0.891
Au 0.750 0.956 0.409
Au 0.750 0.453 0.409
Au 0.250 0.547 0.591
Au 0.250 0.044 0.591
Au 0.000 0.000 0.000
Au 0.500 0.000 0.000


[5]
! PBE-GGA Ac2DyPaN4, relaxed; values from VASP
! Space-group type: P2/m
! Uncorrected energy in eV per atom: -8.35
! Magnetic moment in Bohr magnetons per cell: 0.0
! Formation energy without anion corrections in eV/atom: -1.402
! N(E_F) in states/eV/f.u.: 2.8
&SYSTEM
  ibrav = 0, nat = 8, ntyp = 4
/
ATOMIC_SPECIES
Ac 227.00 Ac.upf
Dy 162.50 Dy.upf
Pa 231.04 Pa.upf
N 14.01 N.upf
CELL_PARAMETERS angstrom
3.650 0.000 0.000
0.000 6.219 0.105
0.000 -2.180 6.153
ATOMIC_POSITIONS crystal
Ac 0.500 0.000 0.500
Ac 0.000 0.500 0.500
Dy 0.500 0.500 0.000
Pa 0.000 0.000 0.000
N 0.500 0.222 0.199
N 0.500 0.778 0.801
N 0.000 0.247 0.795
N 0.000 0.753 0.205


[6]
! PBE-GGA In2HgCl, relaxed; values from VASP
! Space-group type: I4/mmm
! Uncorrected energy in eV per atom: -2.19
! Magnetic moment in Bohr magnetons per cell: 0.0
! Formation energy without anion corrections in eV/atom: -0.279
! N(E_F) in states/eV/f.u.: 1.6
&SYSTEM
  ibrav = 0, nat = 4, ntyp = 3
/
ATOMIC_SPECIES
Cl 35.45 Cl.upf
Hg 200.59 Hg.upf
In 114.82 In.upf
CELL_PARAMETERS angstrom
5.748 -0.067 0.000
1.627 5.513 0.000
-3.687 -2.723 3.469
ATOMIC_POSITIONS crystal
Cl 0.250 0.750 0.500
Hg 0.750 0.250 0.500
In 0.000 0.000 0.000
In 0.500 0.500 0.000


[7]
! PBE-GGA Na2In2Bi, relaxed; values from VASP
! Space-group type: P4/mbm
! Uncorrected energy in eV per atom: -2.47
! Magnetic moment in Bohr magnetons per cell: 0.0
! Formation energy in meV/atom: -74
! N(E_F) in states/eV/f.u.: 2.2
&SYSTEM
  ibrav = 0, nat = 10, ntyp = 3
/
ATOMIC_SPECIES
Na 22.99 Na.upf
Bi 208.98 Bi.upf
In 114.82 In.upf
CELL_PARAMETERS angstrom
8.862 0.000 0.000
0.000 8.862 0.000
0.000 0.000 3.560
ATOMIC_POSITIONS crystal
Na 0.177 0.677 0.500
Na 0.677 0.823 0.500
Na 0.823 0.323 0.500
Na 0.323 0.177 0.500
Bi 0.000 0.000 0.000
Bi 0.500 0.500 0.000
In 0.379 0.879 0.000
In 0.879 0.621 0.000
In 0.621 0.121 0.000
In 0.121 0.379 0.000


[8]
! PBE-GGA Tb2NdMgO, relaxed; values from VASP
! Space-group type: P4/mmm
! Uncorrected energy in eV per atom: -5.31
! Magnetic moment in Bohr magnetons per cell: 0.0
! Formation energy without anion corrections in eV/atom: -1.192
! N(E_F) in states/eV/f.u.: 4.7
&SYSTEM
  ibrav = 0, nat = 5, ntyp = 4
/
ATOMIC_SPECIES
Tb 158.93 Tb.upf
Nd 144.24 Nd.upf
Mg 24.30 Mg.upf
O 16.00 O.upf
CELL_PARAMETERS angstrom
-4.338 -2.576 -0.284
2.212 -3.921 1.781
-1.129 1.404 4.493
ATOMIC_POSITIONS crystal
Tb 0.000 0.000 0.500
Tb 0.000 0.500 0.000
Nd 0.500 0.000 0.000
Mg 0.500 0.500 0.500
O 0.000 0.000 0.000